1.
Computed, not measured: a geometry-optimized Li2CaHgP structure at the PBE level of DFT.

Output
The crystal system is tetragonal.

Cell and atoms, written as POSCAR:
```
Li2CaHgP
1.0
-1.3273 0.9333 -4.4774
3.7816 -2.3984 -1.6210
-2.9970 -4.6683 -0.0846
Li Hg P Ca
2 1 1 1
direct
0.5000 0.0000 0.0000
0.0000 0.5000 0.0000
0.5000 0.5000 0.5000
0.0000 0.0000 0.0000
0.0000 0.0000 0.5000
```



2.
Computed, not measured: a geometry-optimized LiCaHg2P structure at the PBE level of DFT.

Output
The crystal system is tetragonal.

Cell and atoms, written as POSCAR:
```
LiCaHg2P
1.0
-1.5184 -1.5049 -5.4584
-0.0914 -5.0935 1.4297
-5.6611 0.5046 1.4356
Hg Ca Li P
2 1 1 1
direct
0.0000 0.0000 0.5000
0.5000 0.0000 0.0000
0.0000 0.0000 0.0000
0.5000 0.5000 0.5000
0.0000 0.5000 0.0000
```



3.
Computed, not measured: a geometry-optimized LiCa2Hg4Pb structure at the PBE level of DFT.

Output
The crystal system is trigonal.

Cell and atoms, written as POSCAR:
```
LiCa2Hg4Pb
1.0
-4.5389 0.9453 -2.4059
-3.5371 -3.8115 -0.4947
-6.1857 1.3156 6.5166
Hg Pb Ca Li
4 1 2 1
direct
0.3884 0.3884 0.8347
0.8664 0.8664 0.4007
0.1336 0.1336 0.5993
0.6116 0.6116 0.1653
0.0000 0.0000 0.0000
0.7446 0.7446 0.7662
0.2554 0.2554 0.2338
0.5000 0.5000 0.5000
```



Number 1: M_tot 0.02 μB/atom, E_form -0.519 eV per atom. Number 2: M_tot 0.00 μB/atom, E_form 0.180 eV per atom. Number 3: M_tot 0.00 μB/atom, E_form -0.413 eV per atom.